1.
Computed, not measured: a relaxed ZnSn2Pb2 crystal at the GGA-PBE level of DFT.

Computed properties:
energy of formation	0.102	eV/atom
volume	285	Å³ per cell
calculated total energy	-32.4	eV/cell

Unit cell a=7.192 b=7.192 c=5.504 alpha=90.00 beta=90.00 gamma=90.00
Space group P4/mbm (No. 127)
Unique sites:
Zn1 0.000 0.000 0.000 [2 per cell]
Sn1 0.146 0.354 0.000 [4 per cell]
Pb1 0.181 0.681 0.500 [4 per cell]

***

2.
Computed, not measured: a relaxed ZnSn2Pb2 crystal at the GGA-PBE level of DFT.

Computed properties:
energy of formation	0.220	eV/atom
volume	309	Å³ per cell
calculated total energy	-31.2	eV/cell

Unit cell a=4.348 b=4.348 c=16.349 alpha=90.00 beta=90.00 gamma=90.00
Space group I4/mmm (No. 139)
Unique sites:
Zn1 0.000 0.000 0.000 [2 per cell]
Sn1 0.000 0.500 0.250 [4 per cell]
Pb1 0.000 0.000 0.400 [4 per cell]

***

3.
Computed, not measured: a relaxed ZnSnPb2 crystal at the GGA-PBE level of DFT.

Computed properties:
energy of formation	0.180	eV/atom
volume	348	Å³ per cell
calculated total energy	-35.9	eV/cell

Unit cell a=3.3930 b=3.3930 c=34.9130 alpha=90.00 beta=90.00 gamma=120.00
Space group R-3m (No. 166, hexagonal axes)
Unique sites:
Zn1 0.0000 0.0000 0.0000 [3 per cell]
Sn1 0.0000 0.0000 0.5000 [3 per cell]
Pb1 0.0000 0.0000 0.0827 [6 per cell]

***

4.
Computed, not measured: a relaxed Zn2SnPb2 crystal at the GGA-PBE level of DFT.

Computed properties:
energy of formation	0.126	eV/atom
volume	258	Å³ per cell
calculated total energy	-26.7	eV/cell

Unit cell a=3.655 b=3.655 c=19.320 alpha=90.00 beta=90.00 gamma=90.00
Space group I4/mmm (No. 139)
Unique sites:
Zn1 0.000 0.500 0.250 [4 per cell]
Sn1 0.000 0.000 0.000 [2 per cell]
Pb1 0.000 0.000 0.383 [4 per cell]

***

5.
Computed, not measured: a relaxed ZnSnPb crystal at the GGA-PBE level of DFT.

Computed properties:
energy of formation	0.120	eV/atom
volume	81	Å³ per cell
calculated total energy	-8.6	eV/cell

Unit cell a=4.6021 b=4.6021 c=4.4231 alpha=90.00 beta=90.00 gamma=120.00
Space group P3m1 (No. 156)
Unique sites:
Zn1 0.0000 0.0000 0.0000 [1 per cell]
Sn1 0.6667 0.3333 0.0768 [1 per cell]
Pb1 0.3333 0.6667 0.5609 [1 per cell]

***

6.
Computed, not measured: a relaxed Zn2SnPb2 crystal at the GGA-PBE level of DFT.

Computed properties:
energy of formation	0.217	eV/atom
volume	259	Å³ per cell
calculated total energy	-25.8	eV/cell

Unit cell a=8.533 b=8.533 c=3.562 alpha=90.00 beta=90.00 gamma=90.00
Space group P4/mbm (No. 127)
Unique sites:
Zn1 0.158 0.342 0.000 [4 per cell]
Sn1 0.000 0.000 0.500 [2 per cell]
Pb1 0.143 0.643 0.500 [4 per cell]

***

> calculated total energy of number 1 (ZnSn2Pb2)?

-32.4 eV/cell

***

What did the fourth record say?
Computed, not measured: a relaxed Zn2SnPb2 crystal at the GGA-PBE level of DFT.

Computed properties:
energy of formation	0.126	eV/atom
volume	258	Å³ per cell
calculated total energy	-26.7	eV/cell

Unit cell a=3.655 b=3.655 c=19.320 alpha=90.00 beta=90.00 gamma=90.00
Space group I4/mmm (No. 139)
Unique sites:
Zn1 0.000 0.500 0.250 [4 per cell]
Sn1 0.000 0.000 0.000 [2 per cell]
Pb1 0.000 0.000 0.383 [4 per cell]

***

> volume of number 1 (ZnSn2Pb2)?

285 Å³ per cell